Record 1
The following is a GGA-PBE calculation of a geometry-optimized SmPaGe structure, from OQMD via LeMat-Bulk. Values from VASP.

Structure (Quantum ESPRESSO input):
```
&SYSTEM
  ibrav = 0, nat = 3, ntyp = 3
/
ATOMIC_SPECIES
Ge 72.64 Ge.upf
Sm 150.36 Sm.upf
Pa 231.04 Pa.upf
CELL_PARAMETERS angstrom
-4.3219 -1.6179 1.2687
-3.5083 -0.2521 -3.2455
-1.5127 -4.2633 -1.5625
ATOMIC_POSITIONS crystal
Ge 0.2500 0.2500 0.2500
Sm 0.0000 0.0000 0.0000
Pa 0.7500 0.7500 0.7500
```

---

Record 2
The following is a GGA-PBE calculation of a geometry-optimized TbPaGe structure, from OQMD via LeMat-Bulk. Values from VASP.

Structure (Quantum ESPRESSO input):
```
&SYSTEM
  ibrav = 0, nat = 3, ntyp = 3
/
ATOMIC_SPECIES
Ge 72.64 Ge.upf
Pa 231.04 Pa.upf
Tb 158.93 Tb.upf
CELL_PARAMETERS angstrom
3.2034 1.5972 3.4661
-0.1221 4.7479 1.5064
-1.6316 1.1218 4.5723
ATOMIC_POSITIONS crystal
Ge 0.2500 0.2500 0.2500
Pa 0.0000 0.0000 0.0000
Tb 0.7500 0.7500 0.7500
```

---

Record 3
The following is a GGA-PBE calculation of a geometry-optimized PaTc2Ge2 structure, from OQMD via LeMat-Bulk. Values from VASP.

Structure (Quantum ESPRESSO input):
```
&SYSTEM
  ibrav = 0, nat = 5, ntyp = 3
/
ATOMIC_SPECIES
Tc 98.00 Tc.upf
Pa 231.04 Pa.upf
Ge 72.64 Ge.upf
CELL_PARAMETERS angstrom
-2.1213 2.1213 5.0296
2.1213 -2.1213 5.0296
2.1213 2.1213 -5.0296
ATOMIC_POSITIONS crystal
Tc 0.2500 0.7500 0.5000
Pa 0.0000 0.0000 0.0000
Ge 0.6229 0.6229 0.0000
Tc 0.7500 0.2500 0.5000
Ge 0.3771 0.3771 0.0000
```

## Properties
distance to the lowest polymorph of the same formula: 0.00 eV/f.u.

---

Record 4
The following is a GGA-PBE calculation of a geometry-optimized PaTc2Ge2 structure, from OQMD via LeMat-Bulk. Values from VASP.

Structure (Quantum ESPRESSO input):
```
&SYSTEM
  ibrav = 0, nat = 5, ntyp = 3
/
ATOMIC_SPECIES
Tc 98.00 Tc.upf
Ge 72.64 Ge.upf
Pa 231.04 Pa.upf
CELL_PARAMETERS angstrom
-2.2189 2.2189 4.6950
2.2189 -2.2189 4.6950
2.2189 2.2189 -4.6950
ATOMIC_POSITIONS crystal
Tc 0.3795 0.3795 0.0000
Ge 0.2500 0.7500 0.5000
Ge 0.7500 0.2500 0.5000
Tc 0.6205 0.6205 0.0000
Pa 0.0000 0.0000 0.0000
```

## Properties
distance to the lowest polymorph of the same formula: 0.66 eV/f.u.

---

Record 5
The following is a GGA-PBE calculation of a geometry-optimized Pa3TcGe5 structure, from OQMD via LeMat-Bulk. Values from VASP.

Structure (Quantum ESPRESSO input):
```
&SYSTEM
  ibrav = 0, nat = 18, ntyp = 3
/
ATOMIC_SPECIES
Pa 231.04 Pa.upf
Ge 72.64 Ge.upf
Tc 98.00 Tc.upf
CELL_PARAMETERS angstrom
-3.7375 6.9368 3.0023
-2.1342 -2.9899 -7.5900
-4.1313 -3.2895 2.4575
ATOMIC_POSITIONS crystal
Pa 0.3836 0.3836 0.2500
Ge 0.3333 0.6667 0.5000
Ge 0.7408 0.0000 0.7500
Ge 0.2592 0.2592 0.7500
Ge 0.7408 0.7408 0.2500
Tc 0.0000 0.0000 0.0000
Pa 0.6164 0.6164 0.7500
Ge 0.2592 0.0000 0.2500
Ge 0.6667 0.3333 0.5000
Pa 0.0000 0.6164 0.2500
Ge 0.3333 0.6667 0.0000
Pa 0.0000 0.3836 0.7500
Ge 0.0000 0.2592 0.2500
Tc 0.0000 0.0000 0.5000
Pa 0.6164 0.0000 0.2500
Ge 0.6667 0.3333 0.0000
Ge 0.0000 0.7408 0.7500
Pa 0.3836 0.0000 0.7500
```

---

Record 6
The following is a GGA-PBE calculation of a geometry-optimized PaGeTe structure, from OQMD via LeMat-Bulk. Values from VASP.

Structure (Quantum ESPRESSO input):
```
&SYSTEM
  ibrav = 0, nat = 6, ntyp = 3
/
ATOMIC_SPECIES
Ge 72.64 Ge.upf
Pa 231.04 Pa.upf
Te 127.60 Te.upf
CELL_PARAMETERS angstrom
-3.6417 -1.7484 1.0818
-0.4848 -1.4082 -3.9079
4.1236 -7.2820 2.1125
ATOMIC_POSITIONS crystal
Ge 0.0000 0.0000 0.5000
Ge 0.5000 0.5000 0.5000
Pa 0.0000 0.5000 0.2503
Pa 0.5000 0.0000 0.7497
Te 0.0000 0.5000 0.8660
Te 0.5000 0.0000 0.1340
```

## Properties
distance to the lowest polymorph of the same formula: 0.00 eV/f.u.

---

E list, top to bottom, in eV per atom: -5.6810 -5.5544 -8.2123 -8.0802 -7.3921 -6.4265
Total magnetization list, top to bottom, in μB/atom: 0.0030 1.1476 0.0250 0.0007 0.0013 0.0764